Model w:
Entry from Alexandria: SrIn6Ir after structural relaxation (PBE).

Computed properties:
Space group: Amm2

```
8
Lattice="4.179 0.000 0.000 0.000 4.488 5.565 0.000 -4.488 5.565" Properties=species:S:1:pos:R:3 pbc="T T T"
Sr 0.000 0.000 0.000
In 0.000 -2.163 2.712
In 0.000 2.163 2.712
In 2.089 0.000 2.746
In 2.089 -1.576 5.516
In 2.089 1.576 5.516
In 2.089 0.000 8.550
Ir 0.000 0.000 6.755
```



Model x:
Entry from Alexandria: SrIn6Ir after structural relaxation (PBE).

Computed properties:
Space group: P4/mmm

```
8
Lattice="4.623 0.000 0.000 0.000 4.623 0.000 0.000 0.000 9.881" Properties=species:S:1:pos:R:3 pbc="T T T"
Sr 0.000 0.000 0.000
In 0.000 2.312 3.379
In 0.000 2.312 6.502
In 2.312 0.000 3.379
In 2.312 0.000 6.502
In 2.312 2.312 1.414
In 2.312 2.312 8.467
Ir 0.000 0.000 4.941
```



What is the most stable structure shown above? It is model x.